Density functional theory data (GGA-PBE) for a relaxed structure of NaH6Se2.

Results
SG = C2/m (12)
calculated density = 2.08 g cm⁻³
uncorrected energy = -3.128 eV/atom

Cell lengths 4.8631, 4.8631, 7.0701 Å; angles 108.94, 108.94, 82.72 degrees
Closest atoms and distances in Å follow each position.
Element x y z (fractional)
Na 0.0000 0.0000 0.0000  2 Se 2.92
H 0.0591 0.9409 0.5000  1 H 0.76
H 0.3251 0.6290 0.3956  1 H 1.37
H 0.3710 0.6749 0.6044  1 H 1.37
H 0.6290 0.3251 0.3956  1 H 1.37
H 0.6749 0.3710 0.6044  1 H 1.37
H 0.9409 0.0591 0.5000  1 H 0.76
Se 0.4441 0.4441 0.2055  2 H 1.59
Se 0.5559 0.5559 0.7945  2 H 1.59